The following is a DFT calculation (GGA-PBE) of an optimized crystal structure of SmTh2CdC.

As for the total energy: -6.1484 eV/atom. The crystal system is tetragonal. The calculation puts the total magnetization at 0.0 μB/f.u. As for the density of states at the Fermi level: 4.62 states/eV/f.u. The formation energy is -0.21 eV per atom.

The space group is P4/mmm (No. 123) and the conventional cell measures 5.075, 5.075 and 5.105 Å, with angles of 90.00, 90.00 and 90.00 degrees. The distinct sites, in fractional coordinates, are Sm at (0.000, 0.000, 0.000), Th at (0.000, 0.500, 0.500), Cd at (0.500, 0.500, 0.000) and C at (0.000, 0.000, 0.500).

The following is a DFT calculation (GGA-PBE) of an optimized crystal structure of Ba3Mg2TiO8.

As for the total energy: -6.4632 eV/atom. The crystal system is trigonal. The calculation puts the total magnetization at 2.1 μB/f.u. As for the density of states at the Fermi level: 11.13 states/eV/f.u. The value obtained for the uncorrected formation energy is -2426 meV/atom.

The space group is P-3m1 (No. 164) and the conventional cell measures 5.8048, 5.8048 and 7.6570 Å, with angles of 90.00, 90.00 and 120.00 degrees. The distinct sites, in fractional coordinates, are Ba at (0.0000, 0.0000, 0.0000), Ba at (0.3333, 0.6667, 0.6468), Mg at (0.3333, 0.6667, 0.2287), Ti at (0.0000, 0.0000, 0.5000), O at (0.1580, 0.3160, 0.3438) and O at (0.3333, 0.6667, 0.9794).

- Look up the total magnetization of the second one.
  2.1 μB/f.u.